Density functional theory data (meta-GGA SCAN) for a PBEsol-optimized structure of Hf3CrHg.

Output
- DOS at the Fermi energy: 5.641 states/eV per cell
- Relative energy among the computed polymorphs: 0.000 eV per atom
- V: 21.299 A^3/atom
- Symmetry: Pm-3m
- ΔE_f: 2.69 eV/f.u.

Cell: 4.740 4.740 4.740 Å, 90.00 90.00 90.00°
Positions (direct):
Hf 0.000 0.500 0.000
Hg 0.500 0.500 0.500
Hf 0.000 0.000 0.500
Hf 0.500 0.000 0.000
Cr 0.000 0.000 0.000